A plane-wave DFT calculation with PBE was carried out for a relaxed structure of HoThHg6.

abc: 6.7593 6.7593 4.9947
angles: 90.00 90.00 120.00
Sites, in units of the cell vectors:
Ho1 0.0000 0.0000 0.0000
Th1 0.6667 0.3333 0.5000
Hg1 0.0102 0.5051 0.0000
Hg2 0.1657 0.3313 0.5000
Hg3 0.1657 0.8343 0.5000
Hg4 0.4949 0.5051 0.0000
Hg5 0.4949 0.9898 0.0000
Hg6 0.6687 0.8343 0.5000

Results
VASP energy, eV per cell: -16.0
Energy of formation, eV per formula unit: -2.22

=====

A plane-wave DFT calculation with PBE was carried out for a relaxed structure of MgSb2Te.

abc: 3.5366 3.5366 9.3336
angles: 90.00 90.00 106.51
Sites, in units of the cell vectors:
Mg1 0.0000 0.0000 0.0000
Sb1 0.0000 0.0000 0.5249
Sb2 0.5000 0.5000 0.7577
Te1 0.5000 0.5000 0.2000

Results
VASP energy, eV per cell: -12.9
Raw formation energy, eV per atom: 0.031